<i>
A relaxed CrFeRe2 crystal. Source: the Alexandria database, functional PBE-GGA.

Unit cell a=4.5798 b=4.5798 c=4.5622 alpha=79.97 beta=79.97 gamma=34.00
Atoms (fractional coordinates):
1 Cr 0.5082 0.5082 0.4924
2 Fe 0.2471 0.2471 0.2497
3 Re 0.9922 0.9922 0.0206
4 Re 0.7526 0.7526 0.7373

=====

<ii>
A relaxed CrFeRe2 crystal. Source: the Alexandria database, functional PBE-GGA.

Unit cell a=4.5395 b=4.5395 c=4.5395 alpha=130.40 beta=130.40 gamma=72.76
Site moments in Bohr magnetons follow the coordinates.
Atoms (fractional coordinates):
1 Cr 0.2500 0.7500 0.5000  0.31
2 Fe 0.7500 0.2500 0.5000  1.43
3 Re 0.0000 0.0000 0.0000  -0.14
4 Re 0.5000 0.5000 0.0000  -0.14

=====

<iii>
A relaxed CrFeRe2 crystal. Source: the Alexandria database, functional PBE-GGA.

Unit cell a=2.6158 b=2.6158 c=8.3759 alpha=90.00 beta=90.00 gamma=108.78
Site moments in Bohr magnetons follow the coordinates.
Atoms (fractional coordinates):
1 Cr 0.5000 0.5000 0.2500  -0.25
2 Fe 0.5000 0.5000 0.7500  2.41
3 Re 0.0000 0.0000 0.0022  0.04
4 Re 0.0000 0.0000 0.4978  0.04

=====

Which structure is the most stable? The one labeled <ii>.

=====

<i>
A relaxed CrFeRe2 crystal. Source: the Alexandria database, functional PBE-GGA.

Unit cell a=4.1844 b=2.6051 c=5.0626 alpha=79.83 beta=90.00 gamma=90.00
Site moments in Bohr magnetons follow the coordinates.
Atoms (fractional coordinates):
1 Cr 0.5000 0.2500 0.2500  0.08
2 Fe 0.5000 0.7500 0.7500  2.41
3 Re 0.0000 0.0042 0.9998  0.03
4 Re 0.0000 0.4958 0.5002  0.03

=====

<ii>
A relaxed CrFeRe2 crystal. Source: the Alexandria database, functional PBE-GGA.

Unit cell a=4.2240 b=4.2240 c=4.2240 alpha=60.00 beta=60.00 gamma=60.00
Site moments in Bohr magnetons follow the coordinates.
Atoms (fractional coordinates):
1 Re 0.2500 0.2500 0.2500  0.22
2 Re 0.7500 0.7500 0.7500  0.22
3 Fe 0.5000 0.5000 0.5000  2.25
4 Cr 0.0000 0.0000 0.0000  0.17

=====

<iii>
A relaxed CrFeRe2 crystal. Source: the Alexandria database, functional PBE-GGA.

Unit cell a=2.6745 b=2.6745 c=7.3561 alpha=90.00 beta=90.00 gamma=90.00
Site moments in Bohr magnetons follow the coordinates.
Atoms (fractional coordinates):
1 Cr 0.0000 0.0000 0.5189  -0.25
2 Fe 0.5000 0.5000 0.7365  0.73
3 Re 0.0000 0.0000 0.9797  -0.04
4 Re 0.5000 0.5000 0.2650  0.06

=====

<iv>
A relaxed CrFeRe2 crystal. Source: the Alexandria database, functional PBE-GGA.

Unit cell a=4.9256 b=4.9256 c=4.9256 alpha=143.77 beta=128.89 gamma=64.25
Site moments in Bohr magnetons follow the coordinates.
Atoms (fractional coordinates):
1 Cr 0.2500 0.7500 0.5000  0.80
2 Fe 0.7500 0.2500 0.5000  2.24
3 Re 0.0029 0.0029 0.0000  -0.03
4 Re 0.4971 0.4971 0.0000  -0.03

=====

Which structure is the most stable? The one labeled <ii>.

=====

<i>
A relaxed CrFeRe2 crystal. Source: the Alexandria database, functional PBE-GGA.

Unit cell a=4.9486 b=5.0422 c=2.6050 alpha=80.10 beta=79.88 gamma=117.66
Site moments in Bohr magnetons follow the coordinates.
Atoms (fractional coordinates):
1 Cr 0.5000 0.5000 0.0000  0.04
2 Fe 0.5000 0.0000 0.5000  2.35
3 Re 0.0000 0.0000 0.0000  0.00
4 Re 0.0000 0.5000 0.5000  0.00

=====

<ii>
A relaxed CrFeRe2 crystal. Source: the Alexandria database, functional PBE-GGA.

Unit cell a=8.6729 b=8.6729 c=8.6729 alpha=17.94 beta=17.94 gamma=17.94
Site moments in Bohr magnetons follow the coordinates.
Atoms (fractional coordinates):
1 Cr 0.4953 0.4953 0.4953  -0.50
2 Fe 0.7543 0.7543 0.7543  1.67
3 Re 0.0029 0.0029 0.0029  -0.03
4 Re 0.2475 0.2475 0.2475  0.09

=====

<iii>
A relaxed CrFeRe2 crystal. Source: the Alexandria database, functional PBE-GGA.

Unit cell a=3.0262 b=3.0262 c=5.8265 alpha=90.00 beta=90.00 gamma=90.00
Site moments in Bohr magnetons follow the coordinates.
Atoms (fractional coordinates):
1 Cr 0.0000 0.0000 0.5144  0.81
2 Fe 0.5000 0.5000 0.7382  2.01
3 Re 0.0000 0.0000 0.9819  0.14
4 Re 0.5000 0.5000 0.2656  -0.14

=====

Which structure is the most stable? The one labeled <iii>.

=====

<i>
A relaxed Cr2Fe2Re crystal. Source: the Alexandria database, functional PBE-GGA.

Unit cell a=5.5467 b=5.5467 c=5.5467 alpha=142.65 beta=142.65 gamma=53.85
Site moments in Bohr magnetons follow the coordinates.
Atoms (fractional coordinates):
1 Cr 0.6072 0.6072 0.0000  -0.03
2 Cr 0.3928 0.3928 0.0000  -0.03
3 Fe 0.2500 0.7500 0.5000  0.06
4 Fe 0.7500 0.2500 0.5000  0.06
5 Re 0.0000 0.0000 0.0000  0.01

=====

<ii>
A relaxed Cr2Fe2Re crystal. Source: the Alexandria database, functional PBE-GGA.

Unit cell a=6.7996 b=6.7996 c=2.5648 alpha=90.00 beta=90.00 gamma=90.00
Atoms (fractional coordinates):
1 Re 0.0000 0.0000 0.0000
2 Re 0.5000 0.5000 0.0000
3 Fe 0.1756 0.6756 0.5000
4 Fe 0.6756 0.8244 0.5000
5 Fe 0.8244 0.3244 0.5000
6 Fe 0.3244 0.1756 0.5000
7 Cr 0.3775 0.8775 0.0000
8 Cr 0.8775 0.6225 0.0000
9 Cr 0.6225 0.1225 0.0000
10 Cr 0.1225 0.3775 0.0000

=====

<iii>
A relaxed Cr2Fe2Re crystal. Source: the Alexandria database, functional PBE-GGA.

Unit cell a=6.7449 b=6.7449 c=2.6061 alpha=90.00 beta=90.00 gamma=90.00
Atoms (fractional coordinates):
1 Re 0.0000 0.0000 0.0000
2 Re 0.5000 0.5000 0.0000
3 Fe 0.3720 0.8720 0.0000
4 Fe 0.8720 0.6280 0.0000
5 Fe 0.6280 0.1280 0.0000
6 Fe 0.1280 0.3720 0.0000
7 Cr 0.1683 0.6683 0.5000
8 Cr 0.6683 0.8317 0.5000
9 Cr 0.8317 0.3317 0.5000
10 Cr 0.3317 0.1683 0.5000

=====

Which structure is the most stable? The one labeled <iii>.

=====

<i>
A relaxed Cr2FeRh crystal. Source: the Alexandria database, functional PBE-GGA.

Unit cell a=4.8232 b=4.8232 c=4.8232 alpha=144.35 beta=130.43 gamma=62.54
Site moments in Bohr magnetons follow the coordinates.
Atoms (fractional coordinates):
1 Cr 0.9878 0.9878 0.0000  0.02
2 Cr 0.5122 0.5122 0.0000  0.02
3 Fe 0.7500 0.2500 0.5000  2.25
4 Rh 0.2500 0.7500 0.5000  0.31

=====

<ii>
A relaxed Cr2FeRh crystal. Source: the Alexandria database, functional PBE-GGA.

Unit cell a=2.8603 b=2.8603 c=6.0505 alpha=90.00 beta=90.00 gamma=90.00
Site moments in Bohr magnetons follow the coordinates.
Atoms (fractional coordinates):
1 Cr 0.0000 0.0000 0.0268  1.36
2 Cr 0.0000 0.0000 0.4732  1.36
3 Fe 0.5000 0.5000 0.2500  1.39
4 Rh 0.5000 0.5000 0.7500  0.20

=====

<iii>
A relaxed Cr2FeRh crystal. Source: the Alexandria database, functional PBE-GGA.

Unit cell a=2.9101 b=2.9101 c=5.9107 alpha=90.00 beta=90.00 gamma=90.00
Site moments in Bohr magnetons follow the coordinates.
Atoms (fractional coordinates):
1 Cr 0.0000 0.0000 0.0279  1.36
2 Cr 0.5000 0.5000 0.2454  -0.83
3 Fe 0.0000 0.0000 0.4791  2.59
4 Rh 0.5000 0.5000 0.7477  0.52

=====

Which structure is the most stable? The one labeled <iii>.

=====

<i>
A relaxed Cr2FeRh crystal. Source: the Alexandria database, functional PBE-GGA.

Unit cell a=4.4412 b=4.4412 c=4.5034 alpha=79.95 beta=79.95 gamma=34.00
Site moments in Bohr magnetons follow the coordinates.
Atoms (fractional coordinates):
1 Cr 0.9987 0.9987 0.9951  -0.09
2 Cr 0.2488 0.2488 0.2655  -0.66
3 Fe 0.5022 0.5022 0.4801  1.62
4 Rh 0.7502 0.7502 0.7593  0.05

=====

<ii>
A relaxed Cr2FeRh crystal. Source: the Alexandria database, functional PBE-GGA.

Unit cell a=8.4585 b=8.4585 c=8.4585 alpha=17.63 beta=17.63 gamma=17.63
Site moments in Bohr magnetons follow the coordinates.
Atoms (fractional coordinates):
1 Cr 0.9963 0.9963 0.9963  -0.31
2 Cr 0.5037 0.5037 0.5037  -0.31
3 Fe 0.2500 0.2500 0.2500  0.89
4 Rh 0.7500 0.7500 0.7500  -0.15

=====

<iii>
A relaxed Cr2FeRh crystal. Source: the Alexandria database, functional PBE-GGA.

Unit cell a=3.8362 b=2.5684 c=5.2715 alpha=71.32 beta=90.00 gamma=90.00
Site moments in Bohr magnetons follow the coordinates.
Atoms (fractional coordinates):
1 Cr 0.0000 0.0761 0.0107  0.16
2 Cr 0.5000 0.1780 0.2506  -0.24
3 Fe 0.0000 0.4512 0.4867  2.07
4 Rh 0.5000 0.7946 0.7520  0.09

=====

<iv>
A relaxed Cr2FeRh crystal. Source: the Alexandria database, functional PBE-GGA.

Unit cell a=2.5934 b=2.5934 c=7.3141 alpha=90.00 beta=90.00 gamma=90.00
Site moments in Bohr magnetons follow the coordinates.
Atoms (fractional coordinates):
1 Cr 0.0000 0.0000 0.0036  -0.03
2 Cr 0.5000 0.5000 0.2543  -0.80
3 Fe 0.0000 0.0000 0.4890  1.96
4 Rh 0.5000 0.5000 0.7531  0.15

=====

Which structure is the most stable? The one labeled <i>.

=====

<i>
A relaxed Cr2FeRh crystal. Source: the Alexandria database, functional PBE-GGA.

Unit cell a=2.5677 b=2.5677 c=8.0781 alpha=90.00 beta=90.00 gamma=110.85
Site moments in Bohr magnetons follow the coordinates.
Atoms (fractional coordinates):
1 Cr 0.0000 0.0000 0.0137  -0.07
2 Cr 0.5000 0.5000 0.2449  -0.13
3 Fe 0.0000 0.0000 0.4883  2.49
4 Rh 0.5000 0.5000 0.7531  0.26

=====

<ii>
A relaxed Cr2FeRh crystal. Source: the Alexandria database, functional PBE-GGA.

Unit cell a=3.4807 b=3.4807 c=9.1506 alpha=79.04 beta=79.04 gamma=90.00
Site moments in Bohr magnetons follow the coordinates.
Atoms (fractional coordinates):
1 Cr 0.5839 0.1250 0.2500  -0.02
2 Cr 0.1661 0.6250 0.2500  -0.02
3 Cr 0.3750 0.4161 0.7500  -0.03
4 Cr 0.8750 0.8339 0.7500  -0.02
5 Rh 0.0000 0.0000 0.0000  0.25
6 Rh 0.7500 0.2500 0.5000  0.24
7 Fe 0.5000 0.5000 0.0000  2.39
8 Fe 0.2500 0.7500 0.5000  2.39

=====

Which structure is the most stable? The one labeled <i>.

=====

<i>
A relaxed Cr2FeRh crystal. Source: the Alexandria database, functional PBE-GGA.

Unit cell a=4.1416 b=4.1416 c=4.1416 alpha=60.00 beta=60.00 gamma=60.00
Site moments in Bohr magnetons follow the coordinates.
Atoms (fractional coordinates):
1 Cr 0.2500 0.2500 0.2500  1.63
2 Cr 0.7500 0.7500 0.7500  1.63
3 Rh 0.5000 0.5000 0.5000  0.41
4 Fe 0.0000 0.0000 0.0000  1.25

=====

<ii>
A relaxed Cr2FeRh crystal. Source: the Alexandria database, functional PBE-GGA.

Unit cell a=3.5623 b=2.5967 c=5.8141 alpha=63.42 beta=90.00 gamma=90.00
Site moments in Bohr magnetons follow the coordinates.
Atoms (fractional coordinates):
1 Cr 0.0000 0.9741 0.0254  -0.23
2 Cr 0.0000 0.5259 0.4746  -0.23
3 Rh 0.5000 0.7500 0.7500  0.05
4 Fe 0.5000 0.2500 0.2500  0.73

=====

<iii>
A relaxed Cr2FeRh crystal. Source: the Alexandria database, functional PBE-GGA.

Unit cell a=4.4640 b=4.4640 c=4.4640 alpha=131.12 beta=131.12 gamma=71.63
Site moments in Bohr magnetons follow the coordinates.
Atoms (fractional coordinates):
1 Cr 0.0000 0.0000 0.0000  0.70
2 Cr 0.2500 0.7500 0.5000  -1.62
3 Fe 0.5000 0.5000 0.0000  1.82
4 Rh 0.7500 0.2500 0.5000  -0.13

=====

Which structure is the most stable? The one labeled <ii>.